Computed, not measured: a relaxed Ga2Ni8Ge crystal at the PBE level of DFT.

The value obtained for the formation energy from the elements is -0.224 eV/atom.

Cell: 3.7143 6.5010 11.0199 Å, 90.00 90.00 90.00°
With the nearest neighbours (Å) after each atom.
Space group Immm (No. 71)
Symmetry-distinct sites (fractional):
Ga: 0.0000 0.0000 0.1715 (multiplicity 4)  10 Ni 2.43-2.60
Ni: 0.0000 0.2340 0.0000 (multiplicity 4)  2 Ga 2.43, 6 Ni 2.50-2.58, 2 Ge 2.54
Ni: 0.0000 0.2574 0.3376 (multiplicity 8)  3 Ga 2.44-2.48, 1 Ge 2.45, 7 Ni 2.48-2.68
Ni: 0.0000 0.5000 0.1635 (multiplicity 4)  8 Ni 2.48-2.50, 2 Ge 2.59, 2 Ga 2.60
Ge: 0.0000 0.0000 0.5000 (multiplicity 2)  12 Ni 2.45-2.59